No. 1
# BaTl2CdPt (PBE, relaxed)
# Raw total energy ... -0.1132 hartree per atom
data_BaTl2CdPt
_cell_length_a 4.845
_cell_length_b 4.845
_cell_length_c 12.107
_cell_angle_alpha 90.00
_cell_angle_beta 90.00
_cell_angle_gamma 90.00
_space_group_name_H-M_alt 'P 4/n m m'
_space_group_IT_number 129
loop_
_space_group_symop_operation_xyz
'x,y,z'
'-x,-y,-z'
'-y+1/2,x,z'
'y+1/2,-x,-z'
'-x+1/2,-y+1/2,z'
'x+1/2,y+1/2,-z'
'y,-x+1/2,z'
'-y,x+1/2,-z'
'x+1/2,-y,-z'
'-x+1/2,y,z'
'-y,-x,-z'
'y,x,z'
'-x,y+1/2,-z'
'x,-y+1/2,z'
'y+1/2,x+1/2,-z'
'-y+1/2,-x+1/2,z'
loop_
_atom_site_label
_atom_site_fract_x
_atom_site_fract_y
_atom_site_fract_z
Ba1 0.250 0.250 0.235
Tl1 0.250 0.250 0.649
Tl2 0.250 0.750 0.000
Cd1 0.250 0.750 0.500
Pt1 0.250 0.250 0.876

No. 2
# BaPuCd (PBE, relaxed)
# Raw total energy ... -0.1905 hartree per atom
data_BaPuCd
_cell_length_a 7.619
_cell_length_b 7.619
_cell_length_c 7.619
_cell_angle_alpha 90.00
_cell_angle_beta 90.00
_cell_angle_gamma 90.00
_space_group_name_H-M_alt 'F -4 3 m'
_space_group_IT_number 216
_space_group_name_Hall 'F -4 2 3'
loop_
_atom_site_label
_atom_site_fract_x
_atom_site_fract_y
_atom_site_fract_z
Ba1 0.000 0.000 0.000
Pu1 0.250 0.250 0.250
Cd1 0.000 0.000 0.500

No. 3
# Rb2Ba2Cd3 (PBE, relaxed)
# Raw total energy ... -0.0462 hartree per atom
data_Rb2Ba2Cd3
_cell_length_a 6.0806
_cell_length_b 6.0806
_cell_length_c 29.6096
_cell_angle_alpha 90.00
_cell_angle_beta 90.00
_cell_angle_gamma 120.00
_space_group_name_H-M_alt 'R 3 m'
_space_group_IT_number 160
_space_group_name_Hall 'R 3 -2"'
loop_
_atom_site_label
_atom_site_fract_x
_atom_site_fract_y
_atom_site_fract_z
Rb1 0.0000 0.0000 0.0000
Rb2 0.0000 0.0000 0.4966
Ba1 0.0000 0.0000 0.2493
Ba2 0.0000 0.0000 0.7464
Cd1 0.0000 0.0000 0.3713
Cd2 0.0000 0.0000 0.6227
Cd3 0.0000 0.0000 0.8754

No. 4
# BaCdRe (PBE, relaxed)
# Raw total energy ... -0.1402 hartree per atom
data_BaCdRe
_cell_length_a 7.207
_cell_length_b 7.207
_cell_length_c 7.207
_cell_angle_alpha 90.00
_cell_angle_beta 90.00
_cell_angle_gamma 90.00
_space_group_name_H-M_alt 'F -4 3 m'
_space_group_IT_number 216
_space_group_name_Hall 'F -4 2 3'
loop_
_atom_site_label
_atom_site_fract_x
_atom_site_fract_y
_atom_site_fract_z
Ba1 0.000 0.000 0.000
Cd1 0.000 0.000 0.500
Re1 0.250 0.250 0.250

No. 5
# Ba2CdRe (PBE, relaxed)
# Raw total energy ... -0.1232 hartree per atom
data_Ba2CdRe
_cell_length_a 7.700
_cell_length_b 7.700
_cell_length_c 7.700
_cell_angle_alpha 90.00
_cell_angle_beta 90.00
_cell_angle_gamma 90.00
_space_group_name_H-M_alt 'F -4 3 m'
_space_group_IT_number 216
_space_group_name_Hall 'F -4 2 3'
loop_
_atom_site_label
_atom_site_fract_x
_atom_site_fract_y
_atom_site_fract_z
Ba1 0.000 0.000 0.000
Ba2 0.250 0.250 0.250
Cd1 0.250 0.250 0.750
Re1 0.000 0.000 0.500

No. 6
# Ba2CdReS6 (PBE, relaxed)
# Raw total energy ... -0.1851 hartree per atom
data_Ba2CdReS6
_cell_length_a 9.916
_cell_length_b 9.916
_cell_length_c 9.916
_cell_angle_alpha 90.00
_cell_angle_beta 90.00
_cell_angle_gamma 90.00
_space_group_name_H-M_alt 'F m -3 m'
_space_group_IT_number 225
_space_group_name_Hall '-F 4 2 3'
loop_
_atom_site_label
_atom_site_fract_x
_atom_site_fract_y
_atom_site_fract_z
Ba1 0.250 0.250 0.250
Cd1 0.000 0.000 0.000
Re1 0.000 0.000 0.500
S1 0.000 0.000 0.262

No. 7
# BaCd2S3 (PBE, relaxed)
# Raw total energy ... -0.1356 hartree per atom
data_BaCd2S3
_cell_length_a 4.174
_cell_length_b 13.913
_cell_length_c 10.416
_cell_angle_alpha 90.00
_cell_angle_beta 90.00
_cell_angle_gamma 90.00
_space_group_name_H-M_alt 'C m c m'
_space_group_IT_number 63
_space_group_name_Hall '-C 2c 2'
loop_
_atom_site_label
_atom_site_fract_x
_atom_site_fract_y
_atom_site_fract_z
Ba1 0.000 0.245 0.250
Cd1 0.000 0.000 0.000
Cd2 0.000 0.477 0.750
S1 0.000 0.083 0.750
S2 0.000 0.369 0.555

No. 8
# Ba2CdSbS6 (PBE, relaxed)
# Raw total energy ... -0.1537 hartree per atom
data_Ba2CdSbS6
_cell_length_a 10.166
_cell_length_b 10.166
_cell_length_c 10.166
_cell_angle_alpha 90.00
_cell_angle_beta 90.00
_cell_angle_gamma 90.00
_space_group_name_H-M_alt 'F m -3 m'
_space_group_IT_number 225
_space_group_name_Hall '-F 4 2 3'
loop_
_atom_site_label
_atom_site_fract_x
_atom_site_fract_y
_atom_site_fract_z
Ba1 0.250 0.250 0.250
Cd1 0.000 0.000 0.000
Sb1 0.000 0.000 0.500
S1 0.000 0.000 0.255

No. 9
# BaCdSnS4 (PBE, relaxed)
# Raw total energy ... -0.1594 hartree per atom
data_BaCdSnS4
_cell_length_a 21.886
_cell_length_b 22.113
_cell_length_c 13.289
_cell_angle_alpha 90.00
_cell_angle_beta 90.00
_cell_angle_gamma 90.00
_space_group_name_H-M_alt 'F d d 2'
_space_group_IT_number 43
_space_group_name_Hall 'F 2 -2d'
loop_
_atom_site_label
_atom_site_fract_x
_atom_site_fract_y
_atom_site_fract_z
Ba1 0.000 0.000 0.000
Ba2 0.000 0.000 0.496
Ba3 0.001 0.252 0.998
Cd1 0.074 0.126 0.715
Cd2 0.112 0.124 0.246
Sn1 0.068 0.375 0.786
Sn2 0.112 0.375 0.246
S1 0.029 0.125 0.375
S2 0.032 0.376 0.123
S3 0.041 0.373 0.611
S4 0.044 0.126 0.896
S5 0.119 0.290 0.360
S6 0.120 0.459 0.363
S7 0.121 0.290 0.862
S8 0.121 0.460 0.859

No. 10
# Ba2TaCdS6 (PBE, relaxed)
# Raw total energy ... -0.1948 hartree per atom
data_Ba2TaCdS6
_cell_length_a 10.049
_cell_length_b 10.049
_cell_length_c 10.049
_cell_angle_alpha 90.00
_cell_angle_beta 90.00
_cell_angle_gamma 90.00
_space_group_name_H-M_alt 'F m -3 m'
_space_group_IT_number 225
_space_group_name_Hall '-F 4 2 3'
loop_
_atom_site_label
_atom_site_fract_x
_atom_site_fract_y
_atom_site_fract_z
Ba1 0.250 0.250 0.250
Ta1 0.000 0.000 0.000
Cd1 0.000 0.000 0.500
S1 0.000 0.000 0.241

No. 11
# Ba4Tb2Cd3S10 (PBE, relaxed)
# Raw total energy ... -0.1780 hartree per atom
data_Ba4Tb2Cd3S10
_cell_length_a 4.181
_cell_length_b 18.120
_cell_length_c 26.864
_cell_angle_alpha 90.00
_cell_angle_beta 90.00
_cell_angle_gamma 90.00
_space_group_name_H-M_alt 'C m c 21'
_space_group_IT_number 36
loop_
_space_group_symop_operation_xyz
'x,y,z'
'-x,-y,z+1/2'
'-x,y,z'
'x,-y,z+1/2'
'x+1/2,y+1/2,z'
'-x+1/2,-y+1/2,z+1/2'
'-x+1/2,y+1/2,z'
'x+1/2,-y+1/2,z+1/2'
loop_
_atom_site_label
_atom_site_fract_x
_atom_site_fract_y
_atom_site_fract_z
Ba1 0.000 0.076 0.000
Ba2 0.000 0.096 0.183
Ba3 0.000 0.338 0.955
Ba4 0.000 0.339 0.234
Tb1 0.000 0.003 0.344
Tb2 0.000 0.421 0.097
Cd1 0.000 0.281 0.575
Cd2 0.000 0.339 0.806
Cd3 0.000 0.345 0.388
S1 0.000 0.076 0.665
S2 0.000 0.090 0.528
S3 0.000 0.150 0.833
S4 0.000 0.155 0.363
S5 0.000 0.269 0.112
S6 0.000 0.287 0.722
S7 0.000 0.292 0.475
S8 0.000 0.427 0.591
S9 0.000 0.484 0.777
S10 0.000 0.489 0.415

No. 12
# Ba2CdTcS6 (PBE, relaxed)
# Raw total energy ... -0.1771 hartree per atom
data_Ba2CdTcS6
_cell_length_a 9.926
_cell_length_b 9.926
_cell_length_c 9.926
_cell_angle_alpha 90.00
_cell_angle_beta 90.00
_cell_angle_gamma 90.00
_space_group_name_H-M_alt 'F m -3 m'
_space_group_IT_number 225
_space_group_name_Hall '-F 4 2 3'
loop_
_atom_site_label
_atom_site_fract_x
_atom_site_fract_y
_atom_site_fract_z
Ba1 0.250 0.250 0.250
Cd1 0.000 0.000 0.000
Tc1 0.000 0.000 0.500
S1 0.000 0.000 0.261